Below is an optimized crystal structure of InPtBr2, with properties calculated at the PBE level.

Unit cell a=4.132 b=4.132 c=8.928 alpha=109.39 beta=109.39 gamma=52.38
Positions (direct):
In1 0.000 0.000 0.000
Pt1 0.229 0.229 0.826
Br1 0.493 0.493 0.645
Br2 0.668 0.668 0.241

The value obtained for the raw total energy is -3.31 eV per atom. The value obtained for the distance to the lowest polymorph of the same formula is 35 meV/atom. As for the crystal system: monoclinic. The space group is No. 8. As for the total magnetization: 0.000 μB/atom. The uncorrected formation energy comes out at -0.281 eV/atom.

---

Below is an optimized crystal structure of ZnCd2Ag7, with properties calculated at the PBE level.

Unit cell a=4.977 b=4.977 c=13.742 alpha=103.68 beta=103.68 gamma=34.47
Positions (direct):
Zn1 0.000 0.000 0.000
Cd1 0.232 0.232 0.376
Cd2 0.610 0.610 0.692
Ag1 0.305 0.305 0.594
Ag2 0.314 0.314 0.087
Ag3 0.537 0.537 0.477
Ag4 0.618 0.618 0.179
Ag5 0.684 0.684 0.907
Ag6 0.917 0.917 0.796
Ag7 0.926 0.926 0.279

The value obtained for the raw total energy is -2.29 eV per atom. As for the crystal system: monoclinic. The space group is No. 8. As for the total magnetization: 0.000 μB/atom. For the formation enthalpy at 0 K, the calculation gives 0.02 eV/atom.

---

Below is an optimized crystal structure of AlAu, with properties calculated at the PBE level.

Unit cell a=3.219 b=3.219 c=3.219 alpha=90.00 beta=90.00 gamma=90.00
Positions (direct):
Al1 0.000 0.000 0.000
Au1 0.500 0.500 0.500

The value obtained for the raw total energy is -3.74 eV per atom. As for the crystal system: cubic. The space group is No. 221. As for the total magnetization: 0.000 μB/atom. For the formation enthalpy at 0 K, the calculation gives -0.23 eV/atom.

---

Below is an optimized crystal structure of Sr4Sn8Ir, with properties calculated at the PBE level.

Unit cell a=4.794 b=4.799 c=16.970 alpha=90.00 beta=90.00 gamma=90.00
Positions (direct):
Sr1 0.000 0.000 0.000
Sr2 0.000 0.500 0.171
Sr3 0.500 0.000 0.478
Sr4 0.500 0.500 0.698
Sn1 0.000 0.000 0.323
Sn2 0.000 0.000 0.637
Sn3 0.000 0.500 0.531
Sn4 0.000 0.500 0.856
Sn5 0.500 0.000 0.194
Sn6 0.500 0.000 0.860
Sn7 0.500 0.500 0.321
Sn8 0.500 0.500 0.988
Ir1 0.000 0.000 0.793

The value obtained for the raw total energy is -4.11 eV per atom. As for the crystal system: orthorhombic. The space group is No. 25. As for the total magnetization: 0.000 μB/atom. For the formation enthalpy at 0 K, the calculation gives -0.45 eV/atom.

---

Below is an optimized crystal structure of RePIr2, with properties calculated at the PBE level.

Unit cell a=5.093 b=5.093 c=5.093 alpha=145.98 beta=130.23 gamma=61.66
Positions (direct):
Re1 0.000 0.000 0.000
P1 0.500 0.500 0.000
Ir1 0.284 0.784 0.500
Ir2 0.716 0.216 0.500

The value obtained for the raw total energy is -8.88 eV per atom. As for the crystal system: orthorhombic. The space group is No. 71. As for the total magnetization: 0.000 μB/atom. For the formation enthalpy at 0 K, the calculation gives 0.01 eV/atom.

---

Below is an optimized crystal structure of BaZnGa2Tc, with properties calculated at the PBE level.

Unit cell a=4.906 b=4.906 c=5.020 alpha=90.00 beta=90.00 gamma=90.00
Positions (direct):
Ba1 0.000 0.000 0.000
Zn1 0.500 0.500 0.000
Ga1 0.000 0.500 0.500
Ga2 0.500 0.000 0.500
Tc1 0.500 0.500 0.500

The value obtained for the raw total energy is -4.21 eV per atom. As for the crystal system: tetragonal. The space group is No. 123. As for the total magnetization: 0.000 μB/atom. For the formation enthalpy at 0 K, the calculation gives -0.28 eV/atom.

---

Below is an optimized crystal structure of Th3Zn4In4, with properties calculated at the PBE level.

Unit cell a=8.823 b=8.823 c=8.823 alpha=150.12 beta=130.21 gamma=59.16
Positions (direct):
Th1 0.000 0.000 0.000
Th2 0.379 0.879 0.500
Th3 0.621 0.121 0.500
Zn1 0.219 0.219 0.000
Zn2 0.325 0.500 0.825
Zn3 0.675 0.500 0.175
Zn4 0.781 0.781 0.000
In1 0.032 0.339 0.693
In2 0.355 0.661 0.693
In3 0.645 0.339 0.307
In4 0.968 0.661 0.307

The value obtained for the raw total energy is -3.71 eV per atom. As for the crystal system: orthorhombic. The space group is No. 71. As for the total magnetization: 0.000 μB/atom. For the formation enthalpy at 0 K, the calculation gives -0.23 eV/atom.

---

Below is an optimized crystal structure of Zr3SbSe, with properties calculated at the PBE level.

Unit cell a=7.915 b=7.915 c=4.020 alpha=90.00 beta=90.00 gamma=110.05
Positions (direct):
Zr1 0.160 0.840 0.000
Zr2 0.191 0.444 0.500
Zr3 0.444 0.191 0.500
Zr4 0.556 0.809 0.500
Zr5 0.809 0.556 0.500
Zr6 0.840 0.160 0.000
Sb1 0.000 0.000 0.500
Sb2 0.500 0.500 0.000
Se1 0.000 0.500 0.000
Se2 0.500 0.000 0.000

The value obtained for the raw total energy is -7.23 eV per atom. The value obtained for the distance to the lowest polymorph of the same formula is 0 meV/atom. As for the crystal system: orthorhombic. The space group is No. 65. As for the total magnetization: 0.000 μB/atom. The uncorrected formation energy comes out at -0.582 eV/atom.